The following is a SCAN calculation of CaHCl3 at its PBEsol-relaxed geometry, from Alexandria via LeMat-Bulk.

Lattice parameters (Å, degrees): 4.4302 4.4302 4.4302 90.00 90.00 90.00
Space group Pm-3m (No. 221)
Symmetry-distinct sites (fractional):
Ca: 0.0000 0.0000 0.0000 x1
H: 0.5000 0.5000 0.5000 x1
Cl: 0.0000 0.5000 0.5000 x3

Volume = 86.95 Å³ per cell
Magnetization = 0.0 μB per formula unit
Raw total energy = -8.484 eV per atom